<i>
First-principles (PBE) data for an optimized crystal structure of CdSiMo, as listed in Alexandria.

abc: 7.237 2.711 5.948
angles: 90.00 113.35 90.00
Fractional positions:
Mo  0.548  0.500  0.417
Mo  0.548  0.000  0.917
Cd  0.908  0.000  0.407
Si  0.284  0.500  0.579
Cd  0.908  0.500  0.907
Si  0.284  0.000  0.079

M_tot (μB per formula unit): 0.0
D(E_F) (states/eV/cell): 1.86


<ii>
First-principles (PBE) data for an optimized crystal structure of CdSiMo, as listed in Alexandria.

abc: 6.988 6.988 6.988
angles: 156.95 156.95 32.82
Fractional positions:
Mo  0.322  0.322  0.000
Cd  0.994  0.994  0.000
Si  0.685  0.685  0.000

M_tot (μB per formula unit): 0.0
D(E_F) (states/eV/cell): 2.44


<iii>
First-principles (PBE) data for an optimized crystal structure of CdSiMo, as listed in Alexandria.

abc: 4.241 2.758 5.136
angles: 90.00 90.00 90.00
Fractional positions:
Cd  0.000  0.000  0.500
Si  0.500  0.000  0.000
Mo  0.000  0.500  0.000

M_tot (μB per formula unit): 0.0
D(E_F) (states/eV/cell): 1.54


Quick one: most stable of them? <iii>


<i>
First-principles (PBE) data for an optimized crystal structure of CdSiMo, as listed in Alexandria.

abc: 3.149 2.687 12.612
angles: 90.00 90.00 90.00
Fractional positions:
Si  0.000  0.000  0.890
Mo  0.500  0.500  0.015
Si  0.000  0.500  0.390
Cd  0.000  0.500  0.692
Cd  0.000  0.000  0.192
Mo  0.500  0.000  0.515

M_tot (μB per formula unit): 0.0
D(E_F) (states/eV/cell): 4.04


<ii>
First-principles (PBE) data for an optimized crystal structure of CdSiMo, as listed in Alexandria.

abc: 7.215 7.049 2.839
angles: 81.82 75.25 22.93
Fractional positions:
Cd  0.994  0.994  0.006
Mo  0.320  0.320  0.680
Si  0.686  0.686  0.314

M_tot (μB per formula unit): 0.0
D(E_F) (states/eV/cell): 1.97


Quick one: most stable of them? <i>


<i>
First-principles (PBE) data for an optimized crystal structure of CdSiMo, as listed in Alexandria.

abc: 4.410 4.410 3.025
angles: 90.00 90.00 120.00
Fractional positions:
Cd  0.000  0.000  0.000
Mo  0.333  0.667  0.500
Si  0.667  0.333  0.501

M_tot (μB per formula unit): 0.0
D(E_F) (states/eV/cell): 1.48


<ii>
First-principles (PBE) data for an optimized crystal structure of CdSiMo, as listed in Alexandria.

abc: 3.242 3.287 5.404
angles: 107.26 103.97 90.11
Fractional positions:
Si  0.209  0.104  0.812
Mo  0.777  0.691  0.991
Cd  0.445  0.387  0.391

M_tot (μB per formula unit): 0.0
D(E_F) (states/eV/cell): 0.43


Quick one: most stable of them? <ii>


<i>
First-principles (PBE) data for an optimized crystal structure of CdSiMo, as listed in Alexandria.

abc: 3.522 4.449 6.757
angles: 90.00 90.00 90.00
Fractional positions:
Mo  0.000  0.000  0.242
Cd  0.500  0.000  0.587
Mo  0.500  0.500  0.242
Si  0.000  0.500  0.978
Si  0.500  0.000  0.978
Cd  0.000  0.500  0.587

M_tot (μB per formula unit): 0.0
D(E_F) (states/eV/cell): 1.92


<ii>
First-principles (PBE) data for an optimized crystal structure of CdSiMo, as listed in Alexandria.

abc: 3.603 3.056 5.189
angles: 90.00 110.29 90.00
Fractional positions:
Si  0.711  0.000  0.826
Cd  0.995  0.000  0.395
Mo  0.284  0.500  0.972

M_tot (μB per formula unit): 0.0
D(E_F) (states/eV/cell): 1.34


Quick one: most stable of them? <i>


<i>
First-principles (PBE) data for an optimized crystal structure of Cd3SiMo, as listed in Alexandria.

abc: 5.044 5.044 5.044
angles: 90.00 90.00 90.00
Site moments in Bohr magnetons follow the coordinates.
Fractional positions:
Cd  0.000  0.000  0.500  -0.05
Mo  0.500  0.500  0.500  3.48
Cd  0.500  0.000  0.000  0.00
Si  0.000  0.000  0.000  0.07
Cd  0.000  0.500  0.000  -0.02

M_tot (μB per formula unit): 4.2
D(E_F) (states/eV/cell): 2.31


<ii>
First-principles (PBE) data for an optimized crystal structure of Cd3SiMo, as listed in Alexandria.

abc: 5.241 5.241 5.241
angles: 90.00 90.00 90.00
Fractional positions:
Cd  0.000  0.000  0.500
Cd  0.500  0.000  0.000
Mo  0.000  0.000  0.000
Cd  0.000  0.500  0.000
Si  0.500  0.500  0.500

M_tot (μB per formula unit): 0.0
D(E_F) (states/eV/cell): 2.85


Quick one: most stable of them? <i>


<i>
First-principles (PBE) data for an optimized crystal structure of CdSiTeMo, as listed in Alexandria.

abc: 3.330 4.380 6.925
angles: 75.37 89.89 67.61
Fractional positions:
Si  0.219  0.519  0.975
Cd  0.999  0.955  0.232
Mo  0.479  0.999  0.868
Te  0.840  0.278  0.555

M_tot (μB per formula unit): 0.0
D(E_F) (states/eV/cell): 0.89


<ii>
First-principles (PBE) data for an optimized crystal structure of CdSiTeMo, as listed in Alexandria.

abc: 3.265 3.764 14.114
angles: 90.00 90.06 90.00
Fractional positions:
Si  0.577  0.500  0.068
Te  0.577  0.000  0.877
Si  0.577  0.000  0.568
Mo  0.077  0.000  0.030
Cd  0.582  0.500  0.714
Te  0.577  0.500  0.377
Cd  0.582  0.000  0.214
Mo  0.077  0.500  0.530

M_tot (μB per formula unit): 0.0
D(E_F) (states/eV/cell): 3.87


Quick one: most stable of them? <ii>


<i>
First-principles (PBE) data for an optimized crystal structure of CdSnMo2, as listed in Alexandria.

abc: 4.665 4.665 4.665
angles: 60.00 60.00 60.00
Fractional positions:
Sn  0.500  0.500  0.500
Mo  0.250  0.250  0.250
Cd  0.000  0.000  0.000
Mo  0.750  0.750  0.750

M_tot (μB per formula unit): 0.0
D(E_F) (states/eV/cell): 4.30


<ii>
First-principles (PBE) data for an optimized crystal structure of CdSnMo2, as listed in Alexandria.

abc: 7.565 7.565 6.037
angles: 51.20 51.20 90.00
Site moments in Bohr magnetons follow the coordinates.
Fractional positions:
Mo  0.110  0.625  0.250  0.23
Sn  0.750  0.250  0.500  -0.01
Cd  0.500  0.500  0.000  0.00
Mo  0.875  0.890  0.750  0.23
Mo  0.375  0.360  0.750  0.23
Cd  0.250  0.750  0.500  0.00
Mo  0.640  0.125  0.250  0.23
Sn  0.000  0.000  0.000  -0.01

M_tot (μB per formula unit): 0.5
D(E_F) (states/eV/cell): 9.68


Quick one: most stable of them? <i>


<i>
First-principles (PBE) data for an optimized crystal structure of Tl2CdSnMo, as listed in Alexandria.

abc: 5.787 5.406 5.787
angles: 90.00 90.00 90.00
Site moments in Bohr magnetons follow the coordinates.
Fractional positions:
Tl  0.500  0.000  0.000  -0.02
Tl  0.000  0.000  0.500  0.01
Sn  0.000  0.000  0.000  0.04
Mo  0.500  0.500  0.500  3.88
Cd  0.000  0.500  0.000  0.00

M_tot (μB per formula unit): 4.9
D(E_F) (states/eV/cell): 2.48


<ii>
First-principles (PBE) data for an optimized crystal structure of Tl2CdSnMo, as listed in Alexandria.

abc: 5.377 5.365 5.377
angles: 90.00 90.00 90.00
Site moments in Bohr magnetons follow the coordinates.
Fractional positions:
Mo  0.000  0.000  0.000  0.88
Sn  0.500  0.500  0.500  -0.10
Tl  0.500  0.000  0.000  -0.01
Cd  0.000  0.500  0.000  0.00
Tl  0.000  0.000  0.500  0.03

M_tot (μB per formula unit): 0.8
D(E_F) (states/eV/cell): 3.93


Quick one: most stable of them? <ii>


<i>
First-principles (PBE) data for an optimized crystal structure of Sr2CdMo, as listed in Alexandria.

abc: 10.943 10.943 10.943
angles: 19.04 19.04 19.04
Site moments in Bohr magnetons follow the coordinates.
Fractional positions:
Mo  0.750  0.750  0.750  1.59
Sr  0.009  0.009  0.009  -0.01
Cd  0.250  0.250  0.250  -0.02
Sr  0.491  0.491  0.491  -0.01

M_tot (μB per formula unit): 1.6
D(E_F) (states/eV/cell): 3.68


<ii>
First-principles (PBE) data for an optimized crystal structure of Sr2CdMo, as listed in Alexandria.

abc: 3.325 3.325 10.103
angles: 90.00 90.00 90.12
Fractional positions:
Cd  0.500  0.500  0.250
Sr  0.000  0.000  0.985
Sr  0.000  0.000  0.515
Mo  0.500  0.500  0.750

M_tot (μB per formula unit): 0.0
D(E_F) (states/eV/cell): 5.31


<iii>
First-principles (PBE) data for an optimized crystal structure of Sr2CdMo, as listed in Alexandria.

abc: 5.513 5.513 5.513
angles: 60.00 60.00 60.00
Site moments in Bohr magnetons follow the coordinates.
Fractional positions:
Sr  0.000  0.000  0.000  0.06
Cd  0.500  0.500  0.500  -0.04
Sr  0.250  0.250  0.250  -0.02
Mo  0.750  0.750  0.750  2.90

M_tot (μB per formula unit): 3.5
D(E_F) (states/eV/cell): 4.75


Quick one: most stable of them? <ii>


<i>
First-principles (PBE) data for an optimized crystal structure of Sr2CdMo, as listed in Alexandria.

abc: 5.636 5.636 3.913
angles: 90.00 90.00 90.06
Site moments in Bohr magnetons follow the coordinates.
Fractional positions:
Sr  0.000  0.000  0.000  0.03
Mo  0.000  0.500  0.500  2.79
Cd  0.500  0.000  0.500  -0.01
Sr  0.500  0.500  0.000  0.03

M_tot (μB per formula unit): 3.5
D(E_F) (states/eV/cell): 2.94


<ii>
First-principles (PBE) data for an optimized crystal structure of Sr2CdMo, as listed in Alexandria.

abc: 6.673 6.673 5.532
angles: 65.94 65.94 33.59
Site moments in Bohr magnetons follow the coordinates.
Fractional positions:
Sr  0.769  0.769  0.730  0.00
Cd  0.537  0.537  0.466  -0.02
Sr  0.978  0.978  0.024  -0.02
Mo  0.217  0.217  0.281  2.19

M_tot (μB per formula unit): 2.5
D(E_F) (states/eV/cell): 4.10


<iii>
First-principles (PBE) data for an optimized crystal structure of Sr2CdMo, as listed in Alexandria.

abc: 6.013 6.013 6.013
angles: 131.35 131.35 71.25
Site moments in Bohr magnetons follow the coordinates.
Fractional positions:
Sr  0.250  0.750  0.500  -0.02
Sr  0.000  0.000  0.000  0.00
Mo  0.750  0.250  0.500  2.68
Cd  0.500  0.500  0.000  -0.06

M_tot (μB per formula unit): 3.0
D(E_F) (states/eV/cell): 5.04


Quick one: most stable of them? <ii>


<i>
First-principles (PBE) data for an optimized crystal structure of Sr2CdMo, as listed in Alexandria.

abc: 3.779 3.779 9.062
angles: 90.00 90.00 90.00
Site moments in Bohr magnetons follow the coordinates.
Fractional positions:
Cd  0.000  0.000  0.563  0.01
Sr  0.000  0.000  0.928  0.02
Mo  0.500  0.500  0.690  2.02
Sr  0.500  0.500  0.318  0.00

M_tot (μB per formula unit): 2.4
D(E_F) (states/eV/cell): 3.50


<ii>
First-principles (PBE) data for an optimized crystal structure of Sr2CdMo, as listed in Alexandria.

abc: 8.766 8.766 7.016
angles: 51.34 51.34 90.00
Site moments in Bohr magnetons follow the coordinates.
Fractional positions:
Cd  0.750  0.250  0.500  -0.04
Sr  0.133  0.625  0.250  -0.01
Mo  0.500  0.500  0.000  2.68
Mo  0.250  0.750  0.500  2.67
Sr  0.375  0.383  0.750  -0.02
Sr  0.617  0.125  0.250  -0.01
Sr  0.875  0.867  0.750  -0.02
Cd  0.000  0.000  0.000  -0.04

M_tot (μB per formula unit): 2.9
D(E_F) (states/eV/cell): 11.30


<iii>
First-principles (PBE) data for an optimized crystal structure of Sr2CdMo, as listed in Alexandria.

abc: 5.409 5.409 7.115
angles: 80.68 80.68 39.75
Site moments in Bohr magnetons follow the coordinates.
Fractional positions:
Cd  0.750  0.750  0.750  -0.01
Sr  0.997  0.997  0.015  0.00
Mo  0.250  0.250  0.250  2.69
Sr  0.503  0.503  0.485  0.00

M_tot (μB per formula unit): 3.1
D(E_F) (states/eV/cell): 3.72


Quick one: most stable of them? <i>


<i>
First-principles (PBE) data for an optimized crystal structure of Sr2CdMo, as listed in Alexandria.

abc: 4.971 4.172 6.622
angles: 71.61 90.00 90.00
Site moments in Bohr magnetons follow the coordinates.
Fractional positions:
Sr  0.000  0.974  0.925  0.02
Sr  0.500  0.275  0.325  -0.02
Mo  0.500  0.567  0.741  2.22
Cd  0.000  0.684  0.508  -0.03

M_tot (μB per formula unit): 2.5
D(E_F) (states/eV/cell): 2.90


<ii>
First-principles (PBE) data for an optimized crystal structure of Sr2CdMo, as listed in Alexandria.

abc: 5.606 5.606 5.606
angles: 60.00 60.00 60.00
Site moments in Bohr magnetons follow the coordinates.
Fractional positions:
Cd  0.500  0.500  0.500  -0.05
Sr  0.750  0.750  0.750  0.00
Sr  0.250  0.250  0.250  0.00
Mo  0.000  0.000  0.000  2.79

M_tot (μB per formula unit): 3.1
D(E_F) (states/eV/cell): 4.92


Quick one: most stable of them? <i>


<i>
First-principles (PBE) data for an optimized crystal structure of SrCd2Mo, as listed in Alexandria.

abc: 5.317 5.317 3.204
angles: 90.00 90.00 90.00
Fractional positions:
Cd  0.500  0.500  0.000
Mo  0.500  0.000  0.500
Sr  0.000  0.500  0.500
Cd  0.000  0.000  0.000

M_tot (μB per formula unit): 0.0
D(E_F) (states/eV/cell): 1.70


<ii>
First-principles (PBE) data for an optimized crystal structure of SrCd2Mo, as listed in Alexandria.

abc: 3.001 5.951 6.324
angles: 55.27 90.00 90.00
Fractional positions:
Cd  0.000  0.000  0.000
Cd  0.500  0.500  0.000
Mo  0.500  0.500  0.500
Sr  0.000  0.000  0.500

M_tot (μB per formula unit): 0.0
D(E_F) (states/eV/cell): 2.78


Quick one: most stable of them? <i>